Material: TbDy3Tm2Se6
Method: DFT, PBE
State: relaxed

Uncorrected energy = -68.98 eV for the cell shown
D(E_F) = 0.45 states/eV per atom
Symmetry = C2/m (12)
Formation energy (no corrections) = -1.725 eV per atom

Cell: 7.0276 7.0276 7.0498 Å, 99.52 99.52 120.34°
Fractional positions:
Dy  0.8375  0.1625  0.5000
Dy  0.1625  0.8375  0.5000
Dy  0.5000  0.5000  0.5000
Se  0.2570  0.2570  0.7552
Se  0.0822  0.4213  0.2478
Se  0.5787  0.9178  0.7522
Se  0.4213  0.0822  0.2478
Se  0.7430  0.7430  0.2448
Se  0.9178  0.5787  0.7522
Tm  0.3341  0.6659  0.0000
Tm  0.6659  0.3341  0.0000
Tb  0.0000  0.0000  0.0000



Material: BaCdRu2
Method: DFT, PBE
State: relaxed

Uncorrected energy = -17.78 eV for the cell shown
D(E_F) = 1.06 states/eV per atom
ΔH_f (0 K) = 0.9020 eV/atom
Symmetry = I-4m2 (119)

Cell: 5.2095 5.2095 5.2095 Å, 127.48 127.48 77.47°
Fractional positions:
Ba  0.5000  0.5000  0.0000
Cd  0.7500  0.2500  0.5000
Ru  0.0000  0.0000  0.0000
Ru  0.2500  0.7500  0.5000



Material: Cs2UPt3S6
Method: DFT, PBE
State: relaxed

Uncorrected energy = -135.23 eV for the cell shown
D(E_F) = 0.61 states/eV per atom
Symmetry = Fmmm (69)
Formation energy (no corrections) = -0.978 eV per atom

Cell: 11.5935 9.8736 9.2454 Å, 74.58 55.18 50.24°
Fractional positions:
Cs  0.3206  0.6794  0.3206
Cs  0.7500  0.7500  0.7500
Cs  0.6794  0.3206  0.6794
Cs  0.2500  0.2500  0.2500
U  0.1665  0.1665  0.8335
U  0.8335  0.8335  0.1665
Pt  0.8274  0.4977  0.1726
Pt  0.1709  0.8291  0.8291
Pt  0.8291  0.1709  0.1709
Pt  0.4977  0.8274  0.5023
Pt  0.5023  0.1726  0.4977
Pt  0.1726  0.5023  0.8274
S  0.9872  0.8101  0.8077
S  0.3950  0.8077  0.8101
S  0.6019  0.8050  0.1950
S  0.3981  0.1950  0.8050
S  0.8050  0.6019  0.3981
S  0.1899  0.0128  0.6050
S  0.1950  0.3981  0.6019
S  0.8077  0.3950  0.9872
S  0.6050  0.1923  0.1899
S  0.8101  0.9872  0.3950
S  0.1923  0.6050  0.0128
S  0.0128  0.1899  0.1923



Material: BaFe2Se
Method: DFT, PBE
State: relaxed

Uncorrected energy = -21.78 eV for the cell shown
D(E_F) = 0.95 states/eV per atom
Symmetry = Imm2 (44)
Formation energy (no corrections) = 0.139 eV per atom

Cell: 5.3841 5.3841 5.3841 Å, 134.19 107.98 89.68°
Fractional positions:
Ba  0.7441  0.2441  0.5000
Fe  0.2529  0.7529  0.5000
Fe  0.0921  0.0921  0.0000
Se  0.4109  0.4109  0.0000



Material: LiBiO2
Method: DFT, PBE
State: relaxed

Uncorrected energy = -20.99 eV for the cell shown
D(E_F) = 0.00 states/eV per atom
Symmetry = R-3m (166)
Formation energy (no corrections) = -1.320 eV per atom

Cell: 6.3293 6.3293 6.3293 Å, 32.99 32.99 32.99°
Fractional positions:
Li  0.0000  0.0000  0.0000
O  0.9010  0.9010  0.9010
O  0.0990  0.0990  0.0990
Bi  0.5000  0.5000  0.5000



Material: Mg5CdPt6
Method: DFT, PBE
State: relaxed

Uncorrected energy = -54.60 eV for the cell shown
D(E_F) = 0.28 states/eV per atom
ΔH_f (0 K) = -0.7890 eV/atom
Symmetry = Cmmm (65)

Cell: 4.2120 7.2763 6.6740 Å, 90.00 108.40 90.00°
Fractional positions:
Pt  0.8307  0.7459  0.6621
Pt  0.8307  0.2540  0.6621
Pt  0.1693  0.2541  0.3379
Pt  0.5000  0.7395  0.0000
Pt  0.1693  0.7460  0.3379
Pt  0.5000  0.2605  0.0000
Mg  0.0000  0.5000  0.0000
Mg  0.6657  0.0000  0.3307
Mg  0.3323  0.5000  0.6661
Mg  0.6677  0.5000  0.3339
Mg  0.3343  0.0000  0.6693
Cd  0.0000  0.0000  0.0000



Material: GeP3Au
Method: DFT, PBE
State: relaxed

Uncorrected energy = -18.49 eV for the cell shown
D(E_F) = 1.08 states/eV per atom
ΔH_f (0 K) = 1.1262 eV/atom
Symmetry = Pm-3m (221)
Offset from the most stable computed form = 0 meV per atom

Cell: 4.6673 4.6673 4.6673 Å, 90.00 90.00 90.00°
Fractional positions:
Au  0.5000  0.5000  0.5000
Ge  0.0000  0.0000  0.0000
P  0.0000  0.5000  0.0000
P  0.5000  0.0000  0.0000
P  0.0000  0.0000  0.5000



Material: BaPu4Ag3S12
Method: DFT, PBE
State: relaxed

Uncorrected energy = -136.79 eV for the cell shown
D(E_F) = 1.59 states/eV per atom
Symmetry = Im-3 (204)
Formation energy (no corrections) = -0.973 eV per atom

Cell: 8.5602 8.5602 8.5602 Å, 109.47 109.47 109.47°
Fractional positions:
Ba  0.0000  0.0000  0.0000
Pu  0.0000  0.5000  0.0000
Pu  0.5000  0.0000  0.0000
Pu  0.0000  0.0000  0.5000
Pu  0.5000  0.5000  0.5000
S  0.5245  0.6975  0.8270
S  0.8270  0.5245  0.6975
S  0.3025  0.1730  0.4755
S  0.6975  0.1730  0.8705
S  0.4755  0.3025  0.1730
S  0.1730  0.8705  0.6975
S  0.8270  0.1295  0.3025
S  0.6975  0.8270  0.5245
S  0.1295  0.3025  0.8270
S  0.1730  0.4755  0.3025
S  0.3025  0.8270  0.1295
S  0.8705  0.6975  0.1730
Ag  0.0000  0.5000  0.5000
Ag  0.5000  0.5000  0.0000
Ag  0.5000  0.0000  0.5000



Material: Gd2AgRu
Method: DFT, PBE
State: relaxed

Uncorrected energy = -41.49 eV for the cell shown
D(E_F) = 0.98 states/eV per atom
ΔH_f (0 K) = -0.2999 eV/atom
Symmetry = Fm-3m (225)

Cell: 5.0075 5.0075 5.0075 Å, 60.00 60.00 60.00°
Fractional positions:
Ag  0.2500  0.2500  0.2500
Gd  0.0000  0.0000  0.0000
Gd  0.5000  0.5000  0.5000
Ru  0.7500  0.7500  0.7500



Material: Li4CaGa
Method: DFT, PBE
State: relaxed

Uncorrected energy = -13.28 eV for the cell shown
D(E_F) = 0.48 states/eV per atom
ΔH_f (0 K) = -0.0991 eV/atom
Symmetry = F-43m (216)
Offset from the most stable computed form = 41 meV per atom

Cell: 5.4929 5.4929 5.4929 Å, 60.00 60.00 60.00°
Fractional positions:
Li  0.1181  0.6273  0.6273
Li  0.6273  0.1181  0.6273
Li  0.6273  0.6273  0.6273
Li  0.6273  0.6273  0.1181
Ca  0.2500  0.2500  0.2500
Ga  0.0000  0.0000  0.0000



Material: LiAcHgGe
Method: DFT, PBE
State: relaxed

Uncorrected energy = -12.79 eV for the cell shown
D(E_F) = 0.17 states/eV per atom
ΔH_f (0 K) = -0.4631 eV/atom
Symmetry = F-43m (216)

Cell: 5.3013 5.3013 5.3013 Å, 60.00 60.00 60.00°
Fractional positions:
Li  0.5000  0.5000  0.5000
Hg  0.7500  0.7500  0.7500
Ge  0.2500  0.2500  0.2500
Ac  0.0000  0.0000  0.0000



Material: InOs2RuPt
Method: DFT, PBE
State: relaxed

Uncorrected energy = -26.82 eV for the cell shown
D(E_F) = 1.18 states/eV per atom
ΔH_f (0 K) = 2.7392 eV/atom
Symmetry = P4/mmm (123)

Cell: 4.8537 4.7700 4.8537 Å, 90.00 90.00 90.00°
Fractional positions:
Os  0.0000  0.0000  0.5000
Os  0.5000  0.0000  0.0000
In  0.0000  0.0000  0.0000
Ru  0.5000  0.5000  0.5000
Pt  0.0000  0.5000  0.0000



Material: Ba6As2Pd
Method: DFT, PBE
State: relaxed

Uncorrected energy = -32.36 eV for the cell shown
D(E_F) = 0.62 states/eV per atom
ΔH_f (0 K) = -0.7037 eV/atom
Symmetry = C2/m (12)

Cell: 4.7471 9.6243 10.7320 Å, 103.52 102.78 90.00°
Fractional positions:
Ba  0.6577  0.1006  0.3154
Ba  0.9928  0.7648  0.9857
Ba  0.6727  0.5720  0.3453
Ba  0.3423  0.8994  0.6846
Ba  0.0072  0.2352  0.0143
Ba  0.3273  0.4280  0.6547
As  0.8334  0.6630  0.6668
As  0.1666  0.3370  0.3332
Pd  0.5000  0.0000  0.0000



Material: LiZn2Ag
Method: DFT, PBE
State: relaxed

Uncorrected energy = -7.48 eV for the cell shown
D(E_F) = 0.57 states/eV per atom
ΔH_f (0 K) = -0.0409 eV/atom
Symmetry = R3m (160)

Cell: 9.2937 9.2937 9.2937 Å, 17.61 17.61 17.61°
Fractional positions:
Zn  0.0021  0.0021  0.0021
Zn  0.2499  0.2499  0.2499
Ag  0.4987  0.4987  0.4987
Li  0.7493  0.7493  0.7493



Material: Y2Tm3Pd2
Method: DFT, PBE
State: relaxed

Uncorrected energy = -40.60 eV for the cell shown
D(E_F) = 1.22 states/eV per atom
ΔH_f (0 K) = -0.5526 eV/atom
Symmetry = C2/m (12)
Offset from the most stable computed form = 0 meV per atom

Cell: 3.7142 6.4146 8.9899 Å, 115.95 90.00 106.83°
Fractional positions:
Y  0.1553  0.3106  0.8111
Y  0.8447  0.6894  0.1889
Pd  0.8327  0.6654  0.7626
Pd  0.1673  0.3346  0.2374
Tm  0.3861  0.7722  0.5597
Tm  0.5000  0.0000  0.0000
Tm  0.6139  0.2278  0.4403



Material: NaAcO2
Method: DFT, PBE
State: relaxed

Uncorrected energy = -25.07 eV for the cell shown
D(E_F) = 0.00 states/eV per atom
Symmetry = R3m (160)
Formation energy (no corrections) = -2.431 eV per atom
Offset from the most stable computed form = 163 meV per atom

Cell: 3.7872 3.7872 6.5686 Å, 73.24 73.24 60.00°
Fractional positions:
Na  0.4879  0.4879  0.5364
O  0.0744  0.0744  0.7768
O  0.2699  0.2699  0.1903
Ac  0.6678  0.6678  0.9965



Material: Ba3Tl7Ga2
Method: DFT, PBE
State: relaxed

Uncorrected energy = -31.70 eV for the cell shown
D(E_F) = 0.62 states/eV per atom
ΔH_f (0 K) = -0.2761 eV/atom
Symmetry = P2/m (10)

Cell: 4.9846 5.1117 15.7685 Å, 99.43 90.00 90.00°
Fractional positions:
Ga  0.5000  0.3606  0.7308
Ga  0.5000  0.6394  0.2692
Tl  0.5000  0.2759  0.5510
Tl  0.5000  0.0850  0.1657
Tl  0.0000  0.4168  0.8321
Tl  0.5000  0.7241  0.4490
Tl  0.5000  0.9150  0.8343
Tl  0.0000  0.0000  0.0000
Tl  0.0000  0.5832  0.1679
Ba  0.0000  0.1778  0.3565
Ba  0.5000  0.5000  0.0000
Ba  0.0000  0.8222  0.6435



Material: TaBiO3
Method: DFT, PBE
State: relaxed

Uncorrected energy = -29.51 eV for the cell shown
D(E_F) = 0.88 states/eV per atom
Symmetry = Pm-3m (221)
Formation energy (no corrections) = 0.220 eV per atom

Cell: 4.2848 4.2848 4.2848 Å, 90.00 90.00 90.00°
Fractional positions:
Ta  0.5000  0.5000  0.5000
O  0.0000  0.5000  0.0000
O  0.0000  0.0000  0.5000
O  0.5000  0.0000  0.0000
Bi  0.0000  0.0000  0.0000



Material: CaTl6Cd
Method: DFT, PBE
State: relaxed

Uncorrected energy = -17.85 eV for the cell shown
D(E_F) = 0.59 states/eV per atom
ΔH_f (0 K) = -0.0917 eV/atom
Symmetry = Cmmm (65)
Offset from the most stable computed form = 0 meV per atom

Cell: 5.4434 6.7667 6.7667 Å, 70.23 90.00 90.00°
Fractional positions:
Ca  0.5000  0.0000  0.0000
Cd  0.5000  0.5000  0.5000
Tl  0.5000  0.0000  0.5000
Tl  0.0000  0.7693  0.7693
Tl  0.5000  0.5000  0.0000
Tl  0.0000  0.7172  0.2828
Tl  0.0000  0.2307  0.2307
Tl  0.0000  0.2828  0.7172



Material: CsGe3Sb
Method: DFT, PBE
State: relaxed

Uncorrected energy = -9.81 eV for the cell shown
D(E_F) = 1.11 states/eV per atom
Symmetry = Pm-3m (221)
Formation energy (no corrections) = 1.803 eV per atom
Offset from the most stable computed form = 1248 meV per atom

Cell: 5.6947 5.6947 5.6947 Å, 90.00 90.00 90.00°
Fractional positions:
Sb  0.5000  0.5000  0.5000
Ge  0.5000  0.0000  0.0000
Ge  0.0000  0.5000  0.0000
Ge  0.0000  0.0000  0.5000
Cs  0.0000  0.0000  0.0000



Material: SrCaSe2Br
Method: DFT, PBE
State: relaxed

Uncorrected energy = -17.29 eV for the cell shown
D(E_F) = 0.71 states/eV per atom
Symmetry = P4/mmm (123)
Formation energy (no corrections) = -0.994 eV per atom
Offset from the most stable computed form = 343 meV per atom

Cell: 5.7076 5.7076 5.7006 Å, 90.00 90.00 90.00°
Fractional positions:
Se  0.0000  0.5000  0.0000
Se  0.5000  0.0000  0.0000
Sr  0.0000  0.0000  0.0000
Ca  0.5000  0.5000  0.5000
Br  0.0000  0.0000  0.5000



Material: KGa2OsO6
Method: DFT, PBE
State: relaxed

Uncorrected energy = -122.55 eV for the cell shown
Symmetry = C2/c (15)
Formation energy (no corrections) = -1.314 eV per atom

Cell: 6.4473 7.2165 7.2165 Å, 99.11 75.53 75.53°
Fractional positions:
O  0.9483  0.3375  0.4380
O  0.9645  0.3619  0.8392
O  0.5355  0.1608  0.6381
O  0.0355  0.6381  0.1608
O  0.1957  0.9580  0.7391
O  0.5517  0.5620  0.6625
O  0.4483  0.4380  0.3375
O  0.4645  0.8392  0.3619
O  0.3043  0.2609  0.0420
O  0.8043  0.0420  0.2609
O  0.0517  0.6625  0.5620
O  0.6957  0.7391  0.9580
Os  0.7500  0.8010  0.1990
Os  0.2500  0.1990  0.8010
Ga  0.3410  0.6980  0.5497
Ga  0.1590  0.4503  0.3020
Ga  0.6590  0.3020  0.4503
Ga  0.8410  0.5497  0.6980
K  0.7500  0.1006  0.8994
K  0.2500  0.8994  0.1006



Material: HfNiRh
Method: DFT, PBE
State: relaxed

Uncorrected energy = -24.39 eV for the cell shown
D(E_F) = 1.16 states/eV per atom
ΔH_f (0 K) = -0.4340 eV/atom
Symmetry = P-6m2 (187)
Offset from the most stable computed form = 116 meV per atom

Cell: 3.0927 4.2094 4.2094 Å, 120.00 90.00 90.00°
Fractional positions:
Ni  0.1663  0.3333  0.6667
Hf  0.6667  0.6667  0.3333
Rh  0.1670  0.0000  0.0000



Material: HfBeZnIr
Method: DFT, PBE
State: relaxed

Uncorrected energy = -25.35 eV for the cell shown
D(E_F) = 0.38 states/eV per atom
ΔH_f (0 K) = -0.3832 eV/atom
Symmetry = F-43m (216)

Cell: 4.3068 4.3068 4.3068 Å, 60.00 60.00 60.00°
Fractional positions:
Hf  0.7500  0.7500  0.7500
Be  0.5000  0.5000  0.5000
Ir  0.2500  0.2500  0.2500
Zn  0.0000  0.0000  0.0000